No. 1
DFT (meta-GGA SCAN) results for a crystal of Te2MoCl relaxed with PBEsol.

Cell: 6.2407 3.1695 6.4393 Å, 90.00 117.95 90.00°
With the nearest neighbours (Å) after each atom.
Space group Pm (No. 6)
Inequivalent atoms, fractional coordinates:
Te  0.0000  0.0000  0.0000 x1  1 Mo 2.56
Te  0.3603  0.5000  0.6952 x1  2 Mo 2.62
Mo  0.3957  0.0000  0.3881 x1  2 Cl 2.37, 3 Te 2.56-2.62
Cl  0.6678  0.5000  0.3691 x1  2 Mo 2.37

Computed properties:
* polymorph energy (0 for the lowest one): 0.00 eV per formula unit
* energy relative to the elements, uncorrected: -0.181 eV per atom

No. 2
DFT (meta-GGA SCAN) results for a crystal of FeCoAs2P relaxed with PBEsol.

Cell: 4.3228 4.3228 4.4672 Å, 90.00 90.00 90.00°
With the nearest neighbours (Å) after each atom.
Space group P4/mmm (No. 123)
Inequivalent atoms, fractional coordinates:
Fe  0.0000  0.0000  0.0000 x1  4 As 2.16, 2 Co 2.23
Co  0.0000  0.0000  0.5000 x1  2 Fe 2.23
As  0.0000  0.5000  0.0000 x2  2 Fe 2.16
P  0.5000  0.5000  0.5000 x1  4 Co 3.06, 8 As 3.11

Computed properties:
* ΔE_f: 19.26 kcal/mol of atoms